Density functional theory data (PBE-GGA) for a geometry-optimized Np3GeS6 structure.

Unit cell a=8.341 b=8.341 c=6.794 alpha=90.00 beta=90.00 gamma=102.15
Fractional positions:
Np1 0.102 0.898 0.500
Np2 0.215 0.417 0.407
Np3 0.417 0.215 0.907
Np4 0.583 0.785 0.407
Np5 0.785 0.583 0.907
Np6 0.898 0.102 0.000
Ge1 0.324 0.676 0.869
Ge2 0.676 0.324 0.369
S1 0.066 0.594 0.687
S2 0.131 0.192 0.705
S3 0.192 0.131 0.205
S4 0.271 0.729 0.267
S5 0.406 0.934 0.687
S6 0.487 0.513 0.651
S7 0.513 0.487 0.151
S8 0.594 0.066 0.187
S9 0.729 0.271 0.767
S10 0.808 0.869 0.705
S11 0.869 0.808 0.205
S12 0.934 0.406 0.187

## Properties
The calculation puts the energy relative to the elements, uncorrected at -1137 meV/atom. Its space-group type is Cmc2_1, No. 36. As for the calculated total energy: -159.141 eV for the cell shown.